1.
Here is UV2Mo after structural relaxation from Alexandria. Energies are from PBE.

Results
**Total energy**: -9.94 eV per atom
**DOS at the Fermi energy**: 4.22 states/eV per cell
**E_form**: 0.147 eV per atom
**Crystal system**: cubic
**Energy above the most stable polymorph in this dataset**: 0 meV/atom
**Space group**: Fm-3m, No. 225
**Size of the total moment**: 0.00 μB per cell

```
4
Lattice="-2.3735 -2.4559 -2.8843 1.8505 -1.3475 -3.8398 0.9948 -4.3156 -0.6083" Properties=species:S:1:pos:R:3 pbc="T T T"
V 0.3539 -6.0892 -5.4993
V 0.1180 -2.0297 -1.8331
U 0.2359 -4.0595 -3.6662
Mo 0.0000 0.0000 0.0000
```


2.
Here is Ce8MgOs6 after structural relaxation from Alexandria. Energies are from PBE.

Results
**Total energy**: -7.80 eV per atom
**DOS at the Fermi energy**: 19.36 states/eV per cell
**E_form**: -0.035 eV per atom
**Crystal system**: trigonal
**Space group**: P-3, No. 147
**Size of the total moment**: 0.00 μB per cell

```
15
Lattice="4.0625 0.0000 0.0000 0.0000 10.2154 0.0000 0.0000 -5.1077 8.8468" Properties=species:S:1:pos:R:3 pbc="T T T"
Ce 0.9657 3.1095 0.4782
Ce 1.0334 0.0000 5.8978
Ce 3.0969 1.9981 8.3685
Ce 3.0969 1.1406 2.9321
Ce 0.9657 8.2464 2.4538
Ce 0.9657 3.9671 5.9147
Ce 3.0291 5.1077 2.9489
Ce 3.0969 -3.1387 6.3929
Os 3.0372 2.2374 5.4695
Os 1.0254 6.5973 4.6724
Os 3.0372 -1.4896 4.1744
Os 1.0254 5.8555 0.7971
Os 3.0372 -0.7478 8.0496
Os 1.0254 2.8703 3.3772
Mg 2.0313 0.0000 0.0000
```


3.
Here is In2GaSb after structural relaxation from Alexandria. Energies are from PBE.

Results
**Total energy**: -3.09 eV per atom
**DOS at the Fermi energy**: 1.38 states/eV per cell
**Crystal system**: trigonal
**Energy above the most stable polymorph in this dataset**: 12 meV/atom
**Space group**: R3m, No. 160
**Size of the total moment**: 0.00 μB per cell

```
4
Lattice="4.5087 0.0000 0.0000 2.2543 3.9046 0.0000 2.2543 1.3015 6.4579" Properties=species:S:1:pos:R:3 pbc="T T T"
In 2.2543 1.3015 1.6511
In 2.2543 1.3015 4.8144
Sb 4.5087 2.6031 0.0049
Ga 4.5087 2.6031 3.2164
```


4.
Here is YIn2Rh after structural relaxation from Alexandria. Energies are from PBE.

Results
**Total energy**: -5.23 eV per atom
**DOS at the Fermi energy**: 2.02 states/eV per cell
**E_form**: -0.410 eV per atom
**Crystal system**: monoclinic
**Space group**: C2/m, No. 12
**Size of the total moment**: 0.00 μB per cell

```
4
Lattice="5.1306 -0.0291 0.0208 3.7660 3.4844 0.0208 1.5876 0.6166 4.9635" Properties=species:S:1:pos:R:3 pbc="T T T"
In 8.7655 3.4044 0.2960
In 5.3734 2.0869 2.2481
Y 7.8632 3.0540 3.7538
Rh 2.6211 1.0180 1.2513
```


5.
Here is DyHfGaAu after structural relaxation from Alexandria. Energies are from PBE.

Results
**Total energy**: -5.67 eV per atom
**DOS at the Fermi energy**: 2.40 states/eV per cell
**E_form**: -0.456 eV per atom
**Crystal system**: cubic
**Space group**: F-43m, No. 216
**Size of the total moment**: 0.99 μB per cell

```
4
Lattice="4.9327 0.0000 0.0000 2.4663 4.2718 0.0000 2.4663 1.4239 4.0275" Properties=species:S:1:pos:R:3 pbc="T T T"
Hf 4.9327 2.8479 2.0138
Au 7.3990 4.2718 3.0206
Ga 2.4663 1.4239 1.0069
Dy 0.0000 0.0000 0.0000
```


6.
Here is CdCoTe2 after structural relaxation from Alexandria. Energies are from PBE.

Results
**Total energy**: -3.09 eV per atom
**DOS at the Fermi energy**: 6.38 states/eV per cell
**Crystal system**: orthorhombic
**Space group**: Cmmm, No. 65
**Size of the total moment**: 1.75 μB per cell

```
4
Lattice="4.9962 0.0347 0.0000 -1.1290 4.8671 0.0000 0.0000 0.0000 3.7856" Properties=species:S:1:pos:R:3 pbc="T T T"
Co -0.5645 2.4336 1.8928
Cd 2.4981 0.0174 1.8928
Te 1.9336 2.4509 0.0000
Te 0.0000 0.0000 0.0000
```